The following is a PBE calculation of an optimized crystal structure of SnBi2Pt2, from Alexandria via LeMat-Bulk.

Results
Energy relative to the elements = -34 kJ per mole of atoms
Space-group type = P2_1/m
Calculated total energy = -5.12 eV/atom
D(E_F) = 3.20 states/eV per cell

a b c (Å): 4.1606 6.3066 9.6768
angles (deg): 80.25 90.00 90.00
Last column: nearest neighbours and their distance in Å.
Element x y z (fractional)
Sn1 0.2500 0.5569 0.1329  5 Pt 2.73-2.79
Sn2 0.7500 0.4431 0.8671  5 Pt 2.73-2.79
Bi1 0.2500 0.7272 0.4790  3 Pt 2.78-2.84
Bi2 0.2500 0.9221 0.7981  4 Pt 2.84-2.88
Bi3 0.7500 0.2728 0.5210  3 Pt 2.78-2.84
Bi4 0.7500 0.0779 0.2019  4 Pt 2.84-2.88
Pt1 0.2500 0.3779 0.6970  2 Sn 2.73, 4 Bi 2.78-2.88, 1 Pt 3.00
Pt2 0.7500 0.8031 0.9954  3 Sn 2.77-2.79, 3 Bi 2.84-2.86, 1 Pt 3.00
Pt3 0.7500 0.6221 0.3030  2 Sn 2.73, 4 Bi 2.78-2.88, 1 Pt 3.00
Pt4 0.2500 0.1969 0.0046  3 Sn 2.77-2.79, 3 Bi 2.84-2.86, 1 Pt 3.00